## K2BaTcCl8 (PBE-GGA)

Data for crystalline K2BaTcCl8 at its relaxed geometry.

Cell: 5.936 7.789 9.011 Å, 90.03 89.98 110.03°
Atoms (fractional coordinates):
1 K 0.501 0.500 0.242
2 K 0.499 0.500 0.758
3 Cl 0.521 0.251 0.500
4 Cl 0.593 0.815 0.000
5 Cl 0.407 0.185 0.000
6 Cl 0.063 0.806 0.191
7 Cl 0.479 0.749 0.500
8 Cl 0.937 0.194 0.191
9 Cl 0.937 0.194 0.809
10 Cl 0.063 0.806 0.809
11 Ba 0.000 0.000 0.500
12 Tc 0.000 0.000 0.000

As for the raw formation energy: -1547 meV/atom. Its raw total energy is -3.98 eV/atom.